Record 1
This record from the Alexandria database describes an optimized crystal structure of HfCoSb2Mo. The functional is PBEsol.

Results
* formation energy without anion corrections: 0.67 eV per atom
* total energy: -7.15 eV/atom

Lattice parameters (Å, degrees): 4.399 4.794 4.794 90.00 90.00 90.00
Each line ends with the local moment (μB).
Atoms (fractional coordinates):
1 Sb 0.000 0.000 0.500  0.00
2 Sb 0.000 0.500 0.000  0.00
3 Mo 0.500 0.000 0.000  0.64
4 Co 0.000 0.000 0.000  0.00
5 Hf 0.500 0.500 0.500  -0.02

Record 2
This record from the Alexandria database describes an optimized crystal structure of HfCoN3. The functional is PBEsol.

Results
* formation energy without anion corrections: 1.07 eV per atom
* total energy: -7.70 eV/atom

Lattice parameters (Å, degrees): 4.088 4.088 4.088 90.00 90.00 90.00
Each line ends with the local moment (μB).
Atoms (fractional coordinates):
1 N 0.000 0.500 0.000  0.28
2 N 0.000 0.000 0.500  0.28
3 N 0.500 0.000 0.000  0.28
4 Hf 0.000 0.000 0.000  0.08
5 Co 0.500 0.500 0.500  2.41

Record 3
This record from the Alexandria database describes an optimized crystal structure of Hf3NbCo. The functional is PBEsol.

Results
* formation energy: 395 meV per atom
* total energy: -9.62 eV/atom

Lattice parameters (Å, degrees): 4.673 4.673 4.673 90.00 90.00 90.00
Atoms (fractional coordinates):
1 Nb 0.500 0.500 0.500
2 Hf 0.000 0.000 0.500
3 Hf 0.500 0.000 0.000
4 Hf 0.000 0.500 0.000
5 Co 0.000 0.000 0.000

Record 4
This record from the Alexandria database describes an optimized crystal structure of HfNb3Co. The functional is PBEsol.

Results
* formation energy: 599 meV per atom
* total energy: -9.54 eV/atom

Lattice parameters (Å, degrees): 4.582 4.582 4.582 90.00 90.00 90.00
Atoms (fractional coordinates):
1 Nb 0.000 0.500 0.000
2 Nb 0.000 0.000 0.500
3 Nb 0.500 0.000 0.000
4 Co 0.000 0.000 0.000
5 Hf 0.500 0.500 0.500

Record 5
This record from the Alexandria database describes an optimized crystal structure of Hf2CoOs. The functional is PBEsol.

Results
* formation energy: -552 meV per atom
* total energy: -10.79 eV/atom

Lattice parameters (Å, degrees): 4.493 4.493 4.493 60.00 60.00 60.00
Each line ends with the local moment (μB).
Atoms (fractional coordinates):
1 Os 0.500 0.500 0.500  -0.04
2 Hf 0.250 0.250 0.250  -0.04
3 Hf 0.750 0.750 0.750  0.10
4 Co 0.000 0.000 0.000  0.96

Record 6
This record from the Alexandria database describes an optimized crystal structure of Hf5CoP3. The functional is PBEsol.

Results
* formation energy: -1137 meV per atom
* total energy: -9.76 eV/atom

Lattice parameters (Å, degrees): 3.553 10.084 16.822 90.00 90.00 90.00
Atoms (fractional coordinates):
1 Hf 0.250 0.488 0.273
2 Hf 0.250 0.439 0.576
3 Hf 0.250 0.747 0.668
4 Hf 0.750 0.253 0.332
5 Hf 0.750 0.185 0.631
6 Hf 0.750 0.512 0.727
7 Hf 0.750 0.247 0.832
8 Hf 0.250 0.061 0.076
9 Hf 0.250 0.379 0.977
10 Hf 0.250 0.121 0.477
11 Hf 0.750 0.621 0.023
12 Hf 0.750 0.879 0.523
13 Hf 0.750 0.939 0.924
14 Hf 0.750 0.561 0.424
15 Hf 0.250 0.753 0.168
16 Hf 0.250 0.815 0.369
17 Hf 0.250 0.685 0.869
18 Hf 0.250 0.012 0.773
19 Hf 0.750 0.315 0.131
20 Hf 0.750 0.988 0.227
21 P 0.750 0.494 0.883
22 P 0.750 0.686 0.282
23 P 0.750 0.189 0.990
24 P 0.250 0.689 0.510
25 P 0.750 0.311 0.490
26 P 0.750 0.006 0.383
27 P 0.250 0.314 0.718
28 P 0.250 0.994 0.617
29 P 0.250 0.506 0.117
30 P 0.750 0.814 0.782
31 P 0.250 0.811 0.010
32 P 0.250 0.186 0.218
33 Co 0.250 0.367 0.412
34 Co 0.250 0.133 0.912
35 Co 0.750 0.867 0.088
36 Co 0.750 0.633 0.588

Record 7
This record from the Alexandria database describes an optimized crystal structure of Hf2CoP. The functional is PBEsol.

Results
* formation energy: -295 meV per atom
* total energy: -8.93 eV/atom
* energy above the most stable polymorph in this dataset: 67.40 kJ per mole of atoms

Lattice parameters (Å, degrees): 5.605 5.605 5.605 105.51 105.51 117.71
Atoms (fractional coordinates):
1 Co 0.000 0.000 0.000
2 Co 0.250 0.750 0.500
3 Hf 0.887 0.875 0.512
4 Hf 0.625 0.113 0.988
5 Hf 0.363 0.375 0.488
6 Hf 0.125 0.637 0.012
7 P 0.750 0.250 0.500
8 P 0.500 0.500 0.000

Record 8
This record from the Alexandria database describes an optimized crystal structure of Hf2CoP. The functional is PBEsol.

Results
* formation energy: -994 meV per atom
* total energy: -9.63 eV/atom
* energy above the most stable polymorph in this dataset: 0.00 kJ per mole of atoms

Lattice parameters (Å, degrees): 3.553 5.132 7.289 109.80 90.00 90.00
Atoms (fractional coordinates):
1 P 0.750 0.861 0.211
2 P 0.250 0.139 0.789
3 Co 0.750 0.357 0.709
4 Co 0.250 0.643 0.291
5 Hf 0.750 0.773 0.565
6 Hf 0.250 0.227 0.435
7 Hf 0.250 0.706 0.919
8 Hf 0.750 0.294 0.081

Q: Which of these has the highest total energy?
A: HfCoSb2Mo